1.
A plane-wave DFT calculation with GGA-PBE was carried out for Th6As3PSe2 after structural relaxation.

a = 7.3134 Å, b = 7.3134 Å, c = 7.2794 Å
α = 99.62°, β = 99.62°, γ = 119.74°
Positions (direct):
Th1 0.0816 0.4035 0.7473
Th2 0.2363 0.2363 0.2484
Th3 0.4035 0.0816 0.7473
Th4 0.5965 0.9184 0.2527
Th5 0.7637 0.7637 0.7516
Th6 0.9184 0.5965 0.2527
As1 0.1718 0.8282 0.0000
As2 0.5000 0.5000 0.0000
As3 0.8282 0.1718 0.0000
P1 0.0000 0.0000 0.5000
Se1 0.3348 0.6652 0.5000
Se2 0.6652 0.3348 0.5000

Output
Calculated total energy in eV per atom: -7.3984
Density of states at the Fermi level in states/eV/cell: 7.1
Space group: No. 12
Calculated density in g/cm3: 9.4
Energy relative to the elements, uncorrected in eV per atom: -1.494
Calculated volume in Å³/f.u.: 318.8
Total magnetic moment in μB/f.u.: 0.0

---

2.
A plane-wave DFT calculation with GGA-PBE was carried out for Tb3MgAg after structural relaxation.

a = 7.0880 Å, b = 7.0880 Å, c = 13.4764 Å
α = 90.58°, β = 90.58°, γ = 56.03°
Positions (direct):
Tb1 0.0161 0.6286 0.8935
Tb2 0.0766 0.0894 0.3813
Tb3 0.0894 0.0766 0.8813
Tb4 0.1655 0.5427 0.3087
Tb5 0.3714 0.9839 0.6065
Tb6 0.4573 0.8345 0.1913
Tb7 0.5427 0.1655 0.8087
Tb8 0.6286 0.0161 0.3935
Tb9 0.8345 0.4573 0.6913
Tb10 0.9106 0.9234 0.1187
Tb11 0.9234 0.9106 0.6187
Tb12 0.9839 0.3714 0.1065
Mg1 0.4111 0.4176 0.0753
Mg2 0.4176 0.4111 0.5753
Mg3 0.5824 0.5889 0.4247
Mg4 0.5889 0.5824 0.9247
Ag1 0.0000 0.5000 0.5000
Ag2 0.3373 0.6627 0.7500
Ag3 0.5000 0.0000 0.0000
Ag4 0.6627 0.3373 0.2500

Output
Calculated total energy in eV per atom: -3.7105
Density of states at the Fermi level in states/eV/cell: 21.0
Space group: No. 15
Energy relative to the elements in eV/atom: -0.0432
Calculated density in g/cm3: 7.2
Calculated volume in Å³/f.u.: 140.4
Polymorph energy (0 for the lowest one) in meV per atom: 69.7
Total magnetic moment in μB/f.u.: 0.0